This record from Alexandria via LeMat-Bulk describes a geometry-optimized KLaP2O8 structure. The functional is GGA-PBE.

Output
density of states at the Fermi level = 9.24 states/eV/cell
raw formation energy = -2253 meV/atom
symmetry = I-4m2
DFT total energy = -0.256 hartree per atom

Cell lengths 6.1712, 6.1712, 6.1712 Å; angles 106.22, 106.22, 116.18 degrees
Last column: nearest neighbours and their distance in Å.
Positions (direct):
K: 0.0000 0.0000 0.0000  8 O 2.58-2.71
La: 0.7500 0.2500 0.5000  8 O 2.54-2.60
P: 0.2500 0.7500 0.5000  4 O 1.55
P: 0.5000 0.5000 0.0000  4 O 1.55
O: 0.1025 0.4390 0.3365  1 P 1.55
O: 0.1025 0.7659 0.6635  1 P 1.55
O: 0.1924 0.3653 0.8271  1 P 1.55
O: 0.2341 0.8975 0.3365  1 P 1.55
O: 0.5383 0.3653 0.1729  1 P 1.55
O: 0.5610 0.8975 0.6635  1 P 1.55
O: 0.6347 0.4617 0.8271  1 P 1.55
O: 0.6347 0.8076 0.1729  1 P 1.55